Material: AcGdHoSc
Method: DFT, GGA-PBE
State: optimized geometry

Output
Crystal system = cubic
Space-group type = F-43m, No. 216
Energy of formation = 0.112 eV/atom
Total moment = 1.89 μB/atom

```
4
Lattice="5.7095 0.0000 0.0000 2.8548 4.9446 0.0000 2.8548 1.6482 4.6618" Properties=species:S:1:pos:R:3 pbc="T T T"
Ac 0.0000 0.0000 0.0000
Gd 5.7095 3.2964 2.3309
Ho 2.8548 1.6482 1.1655
Sc 8.5643 4.9446 3.4964
```